[1]
The following is a GGA-PBE calculation of a relaxed HoMnNi2 crystal, from Alexandria.

Output
- formation enthalpy at 0 K (meV per atom) = -144
- DFT total energy (eV per atom) = -6.471

Lattice parameters (Å, degrees): 3.1720 3.1720 6.1852 90.00 90.00 90.00
Last column: nearest neighbours and their distance in Å.
Fractional positions:
Ni: 0.0000 0.0000 0.7906  4 Mn 2.59, 1 Ni 2.59, 4 Ho 2.87
Ni: 0.0000 0.0000 0.2094  4 Mn 2.59, 1 Ni 2.59, 4 Ho 2.87
Mn: 0.5000 0.5000 0.0000  8 Ni 2.59
Ho: 0.5000 0.5000 0.5000  8 Ni 2.87, 2 Mn 3.09, 4 Ho 3.17

=====

[2]
The following is a GGA-PBE calculation of a relaxed CrTe3Mo crystal, from Alexandria.

Output
- DFT total energy (eV per atom) = -5.058
- uncorrected formation energy (eV per atom) = 0.92
- ΔE to the lowest computed polymorph (meV per atom) = 0.0

Lattice parameters (Å, degrees): 5.1737 5.1737 5.1737 90.00 90.00 90.00
Last column: nearest neighbours and their distance in Å.
Fractional positions:
Cr: 0.0000 0.0000 0.0000  6 Te 2.59
Mo: 0.5000 0.5000 0.5000  12 Te 3.66
Te: 0.0000 0.5000 0.0000  2 Cr 2.59
Te: 0.0000 0.0000 0.5000  2 Cr 2.59
Te: 0.5000 0.0000 0.0000  2 Cr 2.59

=====

[3]
The following is a GGA-PBE calculation of a relaxed Yb2PdPt crystal, from Alexandria.

Output
- formation enthalpy at 0 K (meV per atom) = -935
- DFT total energy (eV per atom) = -4.506

Lattice parameters (Å, degrees): 4.9291 4.9291 4.9291 60.00 60.00 60.00
Last column: nearest neighbours and their distance in Å.
Fractional positions:
Yb: 0.2500 0.2500 0.2500  4 Pd 3.02, 4 Pt 3.02
Yb: 0.7500 0.7500 0.7500  4 Pd 3.02, 4 Pt 3.02
Pd: 0.5000 0.5000 0.5000  8 Yb 3.02
Pt: 0.0000 0.0000 0.0000  8 Yb 3.02